[1]
Material: PaCrReSn
Method: DFT, GGA-PBE
State: relaxed

Results
Magnetization   2.11 μB per formula unit
Formation energy   0.138 eV/atom

Cell: 6.6980 6.6980 6.6980 Å, 90.00 90.00 90.00°
Space group F-43m (No. 216)
One atom of each set of equivalent atoms:
Pa (0.0000, 0.0000, 0.0000) [4 per cell]
Cr (0.2500, 0.2500, 0.7500) [4 per cell]
Re (0.2500, 0.2500, 0.2500) [4 per cell]
Sn (0.0000, 0.0000, 0.5000) [4 per cell]



[2]
Material: MgZrCo2
Method: DFT, GGA-PBE
State: relaxed

Results
Magnetization   1.39 μB per formula unit
Formation energy   0.198 eV/atom

Cell: 3.0940 3.0940 23.5647 Å, 90.00 90.00 120.00°
Space group R-3m (No. 166, hexagonal axes)
One atom of each set of equivalent atoms:
Mg (0.0000, 0.0000, 0.0000) [3 per cell]
Zr (0.0000, 0.0000, 0.5000) [3 per cell]
Co (0.0000, 0.0000, 0.2474) [6 per cell]



[3]
Material: VNiS2Br
Method: DFT, GGA-PBE
State: relaxed

Results
Magnetization   2.16 μB per formula unit
Energy relative to the elements, uncorrected   272 meV per atom

Cell: 4.4540 4.4540 5.4524 Å, 90.00 90.00 90.00°
Space group P4/mmm (No. 123)
One atom of each set of equivalent atoms:
V (0.0000, 0.0000, 0.0000) [1 per cell]
Ni (0.5000, 0.5000, 0.5000) [1 per cell]
S (0.0000, 0.5000, 0.0000) [2 per cell]
Br (0.0000, 0.0000, 0.5000) [1 per cell]



[4]
Material: LiHoPu2Te4
Method: DFT, GGA-PBE
State: relaxed

Results
Magnetization   11.68 μB per formula unit
Energy relative to the elements, uncorrected   -1152 meV per atom

Cell: 7.5808 4.3853 7.6030 Å, 90.00 109.44 90.00°
Space group P2/m (No. 10)
One atom of each set of equivalent atoms:
Li (0.0000, 0.0000, 0.0000) [1 per cell]
Ho (0.0000, 0.5000, 0.5000) [1 per cell]
Pu (0.5000, 0.0000, 0.5000) [1 per cell]
Pu (0.5000, 0.5000, 0.0000) [1 per cell]
Te (0.2379, 0.5000, 0.2439) [2 per cell]
Te (0.2402, 0.0000, 0.7504) [2 per cell]



[5]
Material: Er3Tm4Ga4
Method: DFT, GGA-PBE
State: relaxed

Results
Magnetization   0.00 μB per formula unit
Formation energy   -0.326 eV/atom

Cell: 4.4575 8.2004 15.5262 Å, 90.00 90.00 90.00°
Space group Immm (No. 71)
One atom of each set of equivalent atoms:
Er (0.0000, 0.0000, 0.0000) [2 per cell]
Er (0.0000, 0.5000, 0.1159) [4 per cell]
Tm (0.0000, 0.3014, 0.3326) [8 per cell]
Ga (0.0000, 0.0000, 0.2248) [4 per cell]
Ga (0.0000, 0.1629, 0.5000) [4 per cell]



[6]
Material: SrZr2Rh
Method: DFT, GGA-PBE
State: relaxed

Results
Magnetization   0.00 μB per formula unit
Formation energy   0.384 eV/atom

Cell: 4.2701 4.2701 9.9730 Å, 90.00 90.00 90.00°
Space group I-4m2 (No. 119)
One atom of each set of equivalent atoms:
Sr (0.0000, 0.0000, 0.0000) [2 per cell]
Zr (0.0000, 0.0000, 0.5000) [2 per cell]
Zr (0.0000, 0.5000, 0.7500) [2 per cell]
Rh (0.0000, 0.5000, 0.2500) [2 per cell]



[7]
Material: NdVC2
Method: DFT, GGA-PBE
State: relaxed

Results
Magnetization   0.00 μB per formula unit
Formation energy   0.080 eV/atom

Cell: 3.2638 3.2638 16.8603 Å, 90.00 90.00 120.00°
Space group R-3m (No. 166, hexagonal axes)
One atom of each set of equivalent atoms:
Nd (0.0000, 0.0000, 0.0000) [3 per cell]
V (0.0000, 0.0000, 0.5000) [3 per cell]
C (0.0000, 0.0000, 0.2297) [6 per cell]



[8]
Material: LaTcAg2
Method: DFT, GGA-PBE
State: relaxed

Results
Magnetization   0.00 μB per formula unit
Formation energy   0.288 eV/atom

Cell: 3.1167 5.1752 5.2861 Å, 90.00 105.58 90.00°
Space group P2/m (No. 10)
One atom of each set of equivalent atoms:
La (0.0000, 0.0000, 0.0000) [1 per cell]
Tc (0.5000, 0.0000, 0.5000) [1 per cell]
Ag (0.3419, 0.5000, 0.7227) [2 per cell]